1.
! PBE TaAl2ZnBr, optimized geometry; values from VASP
! space-group type: P4/mmm (123)
! DFT total energy: -18.87 eV per cell
! E_form (uncorrected): 0.68 eV/atom
&SYSTEM
  ibrav = 0, nat = 5, ntyp = 4
/
ATOMIC_SPECIES
Ta 180.95 Ta.upf
Al 26.98 Al.upf
Zn 65.41 Zn.upf
Br 79.90 Br.upf
ATOMIC_POSITIONS crystal
Ta 0.000 0.000 0.000
Al 0.000 0.500 0.000
Al 0.500 0.000 0.000
Zn 0.500 0.500 0.500
Br 0.000 0.000 0.500
CELL_PARAMETERS angstrom
5.253 0.000 0.000
0.000 5.253 0.000
0.000 0.000 4.950

---

2.
! PBE Pu2Te4Pd, optimized geometry; values from VASP
! space-group type: Cmmm (65)
! DFT total energy: -103.36 eV per cell
! E_form (uncorrected): -0.75 eV/atom
&SYSTEM
  ibrav = 0, nat = 14, ntyp = 3
/
ATOMIC_SPECIES
Pu 244.00 Pu.upf
Te 127.60 Te.upf
Pd 106.42 Pd.upf
ATOMIC_POSITIONS crystal
Pu 0.000 0.174 0.000
Pu 0.000 0.826 0.000
Pu 0.500 0.326 0.000
Pu 0.500 0.674 0.000
Te 0.220 0.000 0.000
Te 0.250 0.250 0.500
Te 0.250 0.750 0.500
Te 0.280 0.500 0.000
Te 0.720 0.500 0.000
Te 0.750 0.250 0.500
Te 0.750 0.750 0.500
Te 0.780 0.000 0.000
Pd 0.000 0.000 0.500
Pd 0.500 0.500 0.500
CELL_PARAMETERS angstrom
8.061 0.000 0.000
0.000 15.085 0.000
0.000 0.000 4.062

---

3.
! PBE ZnReF3, optimized geometry; values from VASP
! space-group type: Pm-3m (221)
! energy above the most stable polymorph in this dataset: 0 meV per atom
! DFT total energy: -23.10 eV per cell
! E_form (uncorrected): -0.75 eV/atom
&SYSTEM
  ibrav = 0, nat = 5, ntyp = 3
/
ATOMIC_SPECIES
Zn 65.41 Zn.upf
Re 186.21 Re.upf
F 19.00 F.upf
ATOMIC_POSITIONS crystal
Zn 0.000 0.000 0.000
Re 0.500 0.500 0.500
F 0.000 0.500 0.500
F 0.500 0.000 0.500
F 0.500 0.500 0.000
CELL_PARAMETERS angstrom
4.239 0.000 0.000
0.000 4.239 0.000
0.000 0.000 4.239

---

4.
! PBE RbCdHI2, optimized geometry; values from VASP
! space-group type: P4/mmm (123)
! DFT total energy: -11.48 eV per cell
&SYSTEM
  ibrav = 0, nat = 5, ntyp = 4
/
ATOMIC_SPECIES
Rb 85.47 Rb.upf
Cd 112.41 Cd.upf
H 1.01 H.upf
I 126.90 I.upf
ATOMIC_POSITIONS crystal
Rb 0.000 0.000 0.000
Cd 0.500 0.500 0.500
H 0.500 0.500 0.000
I 0.000 0.500 0.500
I 0.500 0.000 0.500
CELL_PARAMETERS angstrom
6.278 0.000 0.000
0.000 6.278 0.000
0.000 0.000 4.025

---

5.
! PBE LaTbUO6, optimized geometry; values from VASP
! space-group type: P-31c (163)
! DFT total energy: -161.85 eV per cell
! E_form (uncorrected): -3.37 eV/atom
&SYSTEM
  ibrav = 0, nat = 18, ntyp = 4
/
ATOMIC_SPECIES
La 138.91 La.upf
Tb 158.93 Tb.upf
U 238.03 U.upf
O 16.00 O.upf
ATOMIC_POSITIONS crystal
La 0.000 0.000 0.000
La 0.000 0.000 0.500
Tb 0.333 0.667 0.250
Tb 0.667 0.333 0.750
U 0.333 0.667 0.750
U 0.667 0.333 0.250
O 0.024 0.366 0.638
O 0.024 0.659 0.862
O 0.341 0.366 0.862
O 0.341 0.976 0.638
O 0.366 0.024 0.138
O 0.366 0.341 0.362
O 0.634 0.659 0.638
O 0.634 0.976 0.862
O 0.659 0.024 0.362
O 0.659 0.634 0.138
O 0.976 0.341 0.138
O 0.976 0.634 0.362
CELL_PARAMETERS angstrom
5.865 0.000 0.000
-2.932 5.079 0.000
0.000 0.000 9.845

---

6.
! PBE Ho2Er3Te2, optimized geometry; values from VASP
! space-group type: C2/m (12)
! DFT total energy: -67.70 eV per cell
! E_form (uncorrected): -0.67 eV/atom
&SYSTEM
  ibrav = 0, nat = 14, ntyp = 3
/
ATOMIC_SPECIES
Ho 164.93 Ho.upf
Er 167.26 Er.upf
Te 127.60 Te.upf
ATOMIC_POSITIONS crystal
Ho 0.135 0.000 0.298
Ho 0.365 0.500 0.702
Ho 0.635 0.500 0.298
Ho 0.865 0.000 0.702
Er 0.000 0.500 0.500
Er 0.117 0.500 0.944
Er 0.383 0.000 0.056
Er 0.500 0.000 0.500
Er 0.617 0.000 0.944
Er 0.883 0.500 0.056
Te 0.181 0.000 0.706
Te 0.319 0.500 0.294
Te 0.681 0.500 0.706
Te 0.819 0.000 0.294
CELL_PARAMETERS angstrom
12.956 0.000 0.000
0.000 3.937 0.000
-3.100 0.000 7.865

---

7.
! PBE ZnSn2HOs, optimized geometry; values from VASP
! space-group type: P4/mmm (123)
! DFT total energy: -20.95 eV per cell
&SYSTEM
  ibrav = 0, nat = 5, ntyp = 4
/
ATOMIC_SPECIES
Zn 65.41 Zn.upf
Sn 118.71 Sn.upf
H 1.01 H.upf
Os 190.23 Os.upf
ATOMIC_POSITIONS crystal
Zn 0.000 0.000 0.000
Sn 0.000 0.500 0.500
Sn 0.500 0.000 0.500
H 0.000 0.000 0.500
Os 0.500 0.500 0.000
CELL_PARAMETERS angstrom
4.768 0.000 0.000
0.000 4.768 0.000
0.000 0.000 3.500

---

8.
! PBE La3Rh2, optimized geometry; values from VASP
! space-group type: Pnma (62)
! energy above the most stable polymorph in this dataset: 24 meV per atom
! DFT total energy: -130.88 eV per cell
! energy of formation: -0.65 eV per atom
&SYSTEM
  ibrav = 0, nat = 20, ntyp = 2
/
ATOMIC_SPECIES
La 138.91 La.upf
Rh 102.91 Rh.upf
ATOMIC_POSITIONS crystal
La 0.054 0.250 0.133
La 0.116 0.750 0.563
La 0.221 0.250 0.816
La 0.279 0.750 0.316
La 0.384 0.250 0.063
La 0.446 0.750 0.633
La 0.554 0.250 0.367
La 0.616 0.750 0.937
La 0.721 0.250 0.684
La 0.779 0.750 0.184
La 0.884 0.250 0.437
La 0.946 0.750 0.867
Rh 0.004 0.750 0.315
Rh 0.178 0.750 0.994
Rh 0.322 0.250 0.494
Rh 0.496 0.250 0.815
Rh 0.504 0.750 0.185
Rh 0.678 0.750 0.506
Rh 0.822 0.250 0.006
Rh 0.996 0.250 0.685
CELL_PARAMETERS angstrom
11.644 0.000 0.000
0.000 4.093 0.000
0.000 0.000 11.472

---

9.
! PBE Hf2Cu7PdAu2, optimized geometry; values from VASP
! space-group type: C2/m (12)
! DFT total energy: -60.81 eV per cell
! energy of formation: -0.04 eV per atom
&SYSTEM
  ibrav = 0, nat = 12, ntyp = 4
/
ATOMIC_SPECIES
Hf 178.49 Hf.upf
Cu 63.55 Cu.upf
Pd 106.42 Pd.upf
Au 196.97 Au.upf
ATOMIC_POSITIONS crystal
Hf 0.136 0.136 0.273
Hf 0.864 0.864 0.727
Cu 0.000 0.000 0.000
Cu 0.065 0.565 0.132
Cu 0.229 0.229 0.460
Cu 0.435 0.935 0.868
Cu 0.565 0.065 0.132
Cu 0.771 0.771 0.540
Cu 0.935 0.435 0.868
Pd 0.500 0.500 0.000
Au 0.317 0.317 0.631
Au 0.683 0.683 0.369
CELL_PARAMETERS angstrom
2.468 -2.468 0.000
2.468 2.468 0.000
-2.454 0.000 15.381

---

10.
! PBE NaSrSb3, optimized geometry; values from VASP
! space-group type: Pm-3m (221)
! energy above the most stable polymorph in this dataset: 328 meV per atom
! DFT total energy: -13.39 eV per cell
! E_form (uncorrected): 0.40 eV/atom
&SYSTEM
  ibrav = 0, nat = 5, ntyp = 3
/
ATOMIC_SPECIES
Na 22.99 Na.upf
Sr 87.62 Sr.upf
Sb 121.76 Sb.upf
ATOMIC_POSITIONS crystal
Na 0.000 0.000 0.000
Sr 0.500 0.500 0.500
Sb 0.000 0.500 0.500
Sb 0.500 0.000 0.500
Sb 0.500 0.500 0.000
CELL_PARAMETERS angstrom
6.065 0.000 0.000
0.000 6.065 0.000
0.000 0.000 6.065

---

11.
! PBE ScTc2Rh, optimized geometry; values from VASP
! space-group type: Cm (8)
! energy above the most stable polymorph in this dataset: 93 meV per atom
! DFT total energy: -69.79 eV per cell
! energy of formation: -0.12 eV per atom
&SYSTEM
  ibrav = 0, nat = 8, ntyp = 3
/
ATOMIC_SPECIES
Sc 44.96 Sc.upf
Tc 98.00 Tc.upf
Rh 102.91 Rh.upf
ATOMIC_POSITIONS crystal
Sc 0.000 0.000 0.000
Sc 0.500 0.500 0.000
Tc 0.011 0.500 0.495
Tc 0.270 0.500 0.345
Tc 0.511 0.000 0.495
Tc 0.770 0.000 0.345
Rh 0.248 0.000 0.817
Rh 0.748 0.500 0.817
CELL_PARAMETERS angstrom
9.106 0.000 0.000
0.000 2.881 0.000
-1.025 0.000 4.829

---

12.
! PBE NbMo, optimized geometry; values from VASP
! space-group type: P4_2/mnm (136)
! DFT total energy: -76.74 eV per cell
! energy of formation: 0.86 eV per atom
&SYSTEM
  ibrav = 0, nat = 8, ntyp = 2
/
ATOMIC_SPECIES
Nb 92.91 Nb.upf
Mo 95.94 Mo.upf
ATOMIC_POSITIONS crystal
Nb 0.209 0.209 0.000
Nb 0.291 0.709 0.500
Nb 0.709 0.291 0.500
Nb 0.791 0.791 0.000
Mo 0.205 0.205 0.500
Mo 0.295 0.705 0.000
Mo 0.705 0.295 0.000
Mo 0.795 0.795 0.500
CELL_PARAMETERS angstrom
5.294 0.000 0.000
0.000 5.294 0.000
0.000 0.000 5.335

---

N(E_F) (states/eV per cell)
3.37, 43.09, 2.47, 1.04, 0.00, 14.33, 2.95, 15.59, 5.32, 2.53, 8.26, 6.27